A plane-wave DFT calculation with PBE was carried out for a relaxed LiNdGaIr crystal.

extended XYZ file:
```
4
Lattice="0.0000 3.3396 3.3396 3.3396 0.0000 3.3396 3.3396 3.3396 0.0000" Properties=species:S:1:pos:R:3 pbc="T T T"
Li 0.0000 0.0000 0.0000
Nd 5.0094 5.0094 5.0094
Ga 1.6698 1.6698 1.6698
Ir 3.3396 3.3396 3.3396
```

E_tot, eV per atom: -5.0790
D(E_F), states/eV per cell: 3.45
Volume, Å³ per cell: 74.5
Symmetry: F-43m, No. 216